Entry from Alexandria via LeMat-Bulk: a relaxed Ba2CaCo2CuF14 crystal (PBE with a Hubbard U).

a = 13.8831 Å, b = 5.4675 Å, c = 14.9710 Å
α = 90.00°, β = 92.19°, γ = 90.00°
Space group C2 (No. 5)
One atom of each set of equivalent atoms:
1 Ba 0.1902 0.0000 0.3750 x4
2 Ba 0.1905 0.8406 0.8750 x4
3 Ca 0.0000 0.3345 0.0000 x2
4 Ca 0.0000 0.5055 0.5000 x2
5 Co 0.1211 0.8881 0.1262 x4
6 Co 0.1213 0.9520 0.6262 x4
7 Cu 0.9997 0.4204 0.2500 x4
8 F 0.0047 0.8544 0.4031 x4
9 F 0.0049 0.9855 0.9031 x4
10 F 0.0543 0.3655 0.3665 x4
11 F 0.0548 0.4746 0.8667 x4
12 F 0.0841 0.7050 0.2333 x4
13 F 0.0846 0.1353 0.7333 x4
14 F 0.1208 0.2234 0.5409 x4
15 F 0.1208 0.6164 0.0411 x4
16 F 0.1401 0.1738 0.2062 x4
17 F 0.1404 0.6665 0.7063 x4
18 F 0.1585 0.1106 0.0267 x4
19 F 0.1585 0.7292 0.5267 x4
20 F 0.2504 0.0225 0.6507 x4
21 F 0.2499 0.3178 0.8489 x4

Size of the total moment   9.03 μB/f.u.
Calculated volume   1135.6 Å³/cell
Raw total energy   -409.82 eV/cell